## Ti3RePd (PBE-GGA)

Data for a relaxed structure of Ti3RePd. Values from VASP.

Quantum ESPRESSO input file:
```
&SYSTEM
  ibrav = 0, nat = 5, ntyp = 3
/
ATOMIC_SPECIES
Ti 47.87 Ti.upf
Re 186.21 Re.upf
Pd 106.42 Pd.upf
CELL_PARAMETERS angstrom
4.7130 0.0000 0.0000
0.0000 4.7130 0.0000
0.0000 0.0000 4.7130
ATOMIC_POSITIONS crystal
Ti 0.0000 0.0000 0.5000
Ti 0.0000 0.5000 0.0000
Ti 0.5000 0.0000 0.0000
Re 0.0000 0.0000 0.0000
Pd 0.5000 0.5000 0.5000
```

Calculated values
- energy above the most stable polymorph in this dataset (eV/f.u.) = 0.00
- crystal system = cubic
- VASP energy (eV/atom) = -7.642
- DOS at the Fermi energy (states/eV/atom) = 1.76

## Ag2BPt (PBE-GGA)

Data for a relaxed structure of Ag2BPt. Values from VASP.

Quantum ESPRESSO input file:
```
&SYSTEM
  ibrav = 0, nat = 8, ntyp = 3
/
ATOMIC_SPECIES
Ag 107.87 Ag.upf
B 10.81 B.upf
Pt 195.08 Pt.upf
CELL_PARAMETERS angstrom
-4.0147 4.0147 2.0895
4.0147 -4.0147 2.0895
4.0147 4.0147 -2.0895
ATOMIC_POSITIONS crystal
Ag 0.0071 0.6250 0.8821
Ag 0.3750 0.2571 0.3821
Ag 0.7429 0.1250 0.1179
Ag 0.8750 0.9929 0.6179
B 0.0000 0.0000 0.0000
B 0.7500 0.2500 0.5000
Pt 0.2500 0.7500 0.5000
Pt 0.5000 0.5000 0.0000
```

Calculated values
- crystal system = tetragonal
- VASP energy (eV/atom) = -4.182
- DOS at the Fermi energy (states/eV/atom) = 0.58

## Mg2In2Rh (PBE-GGA)

Data for a relaxed structure of Mg2In2Rh. Values from VASP.

Quantum ESPRESSO input file:
```
&SYSTEM
  ibrav = 0, nat = 10, ntyp = 3
/
ATOMIC_SPECIES
Mg 24.30 Mg.upf
In 114.82 In.upf
Rh 102.91 Rh.upf
CELL_PARAMETERS angstrom
-3.1122 6.1343 2.8783
3.1122 -6.1343 2.8783
3.1122 6.1343 -2.8783
ATOMIC_POSITIONS crystal
Mg 0.1662 0.1708 0.3369
Mg 0.3338 0.6708 0.0046
Mg 0.6662 0.3292 0.9954
Mg 0.8338 0.8292 0.6631
In 0.0912 0.6716 0.7628
In 0.4088 0.1716 0.5804
In 0.5912 0.8284 0.4196
In 0.9088 0.3284 0.2372
Rh 0.2500 0.2500 0.0000
Rh 0.7500 0.7500 0.0000
```

Calculated values
- energy above the most stable polymorph in this dataset (eV/f.u.) = 0.00
- crystal system = orthorhombic
- VASP energy (eV/atom) = -3.447
- DOS at the Fermi energy (states/eV/atom) = 0.41

## Hf8PtC2 (PBE-GGA)

Data for a relaxed structure of Hf8PtC2. Values from VASP.

Quantum ESPRESSO input file:
```
&SYSTEM
  ibrav = 0, nat = 11, ntyp = 3
/
ATOMIC_SPECIES
Hf 178.49 Hf.upf
Pt 195.08 Pt.upf
C 12.01 C.upf
CELL_PARAMETERS angstrom
6.3620 -3.1550 0.0000
6.3620 3.1550 0.0000
-0.9209 0.0000 5.5305
ATOMIC_POSITIONS crystal
Hf 0.1366 0.1366 0.7129
Hf 0.1463 0.6631 0.7841
Hf 0.3088 0.3088 0.2386
Hf 0.3369 0.8537 0.2159
Hf 0.6631 0.1463 0.7841
Hf 0.6912 0.6912 0.7614
Hf 0.8537 0.3369 0.2159
Hf 0.8634 0.8634 0.2871
Pt 0.5000 0.5000 0.5000
C 0.3033 0.3033 0.8511
C 0.6967 0.6967 0.1489
```

Calculated values
- crystal system = monoclinic
- VASP energy (eV/atom) = -9.513
- DOS at the Fermi energy (states/eV/atom) = 0.81

## BaHo2IrO5 (PBE-GGA)

Data for a relaxed structure of BaHo2IrO5. Values from VASP.

Quantum ESPRESSO input file:
```
&SYSTEM
  ibrav = 0, nat = 9, ntyp = 4
/
ATOMIC_SPECIES
Ba 137.33 Ba.upf
Ho 164.93 Ho.upf
Ir 192.22 Ir.upf
O 16.00 O.upf
CELL_PARAMETERS angstrom
-2.0402 2.8698 5.5677
2.0402 -2.8698 5.5677
2.0402 2.8698 -5.5677
ATOMIC_POSITIONS crystal
Ba 0.0000 0.0000 0.0000
Ho 0.2922 0.7922 0.5000
Ho 0.7078 0.2078 0.5000
Ir 0.5000 0.5000 0.0000
O 0.1180 0.3519 0.7662
O 0.4143 0.6481 0.7662
O 0.5000 0.0000 0.5000
O 0.5857 0.3519 0.2338
O 0.8820 0.6481 0.2338
```

Calculated values
- crystal system = orthorhombic
- VASP energy (eV/atom) = -7.317
- E_form (uncorrected) (eV per formula unit) = -21.12
- DOS at the Fermi energy (states/eV/atom) = 0.36

## RbLa2IrSe (PBE-GGA)

Data for a relaxed structure of RbLa2IrSe. Values from VASP.

Quantum ESPRESSO input file:
```
&SYSTEM
  ibrav = 0, nat = 5, ntyp = 4
/
ATOMIC_SPECIES
Rb 85.47 Rb.upf
La 138.91 La.upf
Ir 192.22 Ir.upf
Se 78.96 Se.upf
CELL_PARAMETERS angstrom
5.6289 0.0000 0.0000
0.0000 5.6289 0.0000
0.0000 0.0000 5.7859
ATOMIC_POSITIONS crystal
Rb 0.0000 0.0000 0.0000
La 0.0000 0.5000 0.5000
La 0.5000 0.0000 0.5000
Ir 0.5000 0.5000 0.0000
Se 0.0000 0.0000 0.5000
```

Calculated values
- crystal system = tetragonal
- VASP energy (eV/atom) = -4.446
- E_form (uncorrected) (eV per formula unit) = 0.94
- DOS at the Fermi energy (states/eV/atom) = 0.72